# 1
## DyNiIr (PBE)

Data for a relaxed DyNiIr crystal.

a b c (Å): 4.318 4.318 4.318
angles (deg): 60.00 60.00 60.00
Fractional coordinates of all 3 atoms:
Dy: 0.000 0.000 0.000
Ni: 0.250 0.250 0.250
Ir: 0.500 0.500 0.500

**VASP energy**: -19.63 eV/cell
**E_form**: -200 meV/atom
**Space-group type**: No. 216

---

# 2
## TbDy2NiIr2Pb3 (PBE)

Data for a relaxed TbDy2NiIr2Pb3 crystal.

a b c (Å): 3.779 7.748 7.748
angles (deg): 120.06 90.00 90.00
Fractional coordinates of all 9 atoms:
Tb: 0.000 0.000 0.000
Dy: 0.000 0.408 0.815
Dy: 0.000 0.815 0.408
Ni: 0.000 0.408 0.408
Ir: 0.500 0.075 0.740
Ir: 0.500 0.740 0.075
Pb: 0.500 0.150 0.408
Pb: 0.500 0.408 0.150
Pb: 0.500 0.665 0.665

**VASP energy**: -53.19 eV/cell
**Space-group type**: No. 38

---

# 3
## Tb2DyNiIr2Pb3 (PBE)

Data for a relaxed Tb2DyNiIr2Pb3 crystal.

a b c (Å): 3.786 7.774 7.774
angles (deg): 119.95 90.00 90.00
Fractional coordinates of all 9 atoms:
Tb: 0.000 0.203 0.797
Tb: 0.000 0.797 0.203
Dy: 0.000 0.390 0.390
Ni: 0.000 0.797 0.797
Ir: 0.500 0.131 0.463
Ir: 0.500 0.463 0.131
Pb: 0.500 0.055 0.055
Pb: 0.500 0.538 0.797
Pb: 0.500 0.797 0.538

**VASP energy**: -53.21 eV/cell
**Space-group type**: No. 38

---

# 4
## DyTm2NiIr2Pb3 (PBE)

Data for a relaxed DyTm2NiIr2Pb3 crystal.

a b c (Å): 3.728 7.733 7.733
angles (deg): 120.18 90.00 90.00
Fractional coordinates of all 9 atoms:
Dy: 0.000 0.000 0.000
Tm: 0.000 0.408 0.815
Tm: 0.000 0.815 0.408
Ni: 0.000 0.409 0.409
Ir: 0.500 0.075 0.739
Ir: 0.500 0.739 0.075
Pb: 0.500 0.149 0.408
Pb: 0.500 0.408 0.149
Pb: 0.500 0.666 0.666

**VASP energy**: -52.87 eV/cell
**Space-group type**: No. 38

---

# 5
## Dy3NiSn3IrPd (PBE)

Data for a relaxed Dy3NiSn3IrPd crystal.

a b c (Å): 7.549 7.549 3.828
angles (deg): 90.00 90.00 120.00
Fractional coordinates of all 9 atoms:
Dy: 0.078 0.733 0.000
Dy: 0.267 0.345 0.000
Dy: 0.655 0.922 0.000
Ni: 0.667 0.333 0.000
Sn: 0.414 0.083 0.500
Sn: 0.669 0.586 0.500
Sn: 0.917 0.331 0.500
Ir: 0.333 0.667 0.500
Pd: 0.000 0.000 0.500

**VASP energy**: -53.02 eV/cell
**Space-group type**: No. 174

---

# 6
## Dy3NiSn3IrPt (PBE)

Data for a relaxed Dy3NiSn3IrPt crystal.

a b c (Å): 7.527 7.527 3.845
angles (deg): 90.00 90.00 120.00
Fractional coordinates of all 9 atoms:
Dy: 0.076 0.737 0.000
Dy: 0.263 0.340 0.000
Dy: 0.660 0.924 0.000
Ni: 0.667 0.333 0.000
Sn: 0.416 0.081 0.500
Sn: 0.665 0.584 0.500
Sn: 0.919 0.335 0.500
Ir: 0.333 0.667 0.500
Pt: 0.000 0.000 0.500

**VASP energy**: -54.35 eV/cell
**Space-group type**: No. 174